Density functional theory data (PBE with a Hubbard U) for a relaxed VAuO2F crystal.

## Properties
- total energy (eV/atom) = -5.633
- mass density (g/cm3) = 8.214
- Fermi-level density of states (states/eV/f.u.) = 0.68

a b c (Å): 3.8432 3.8432 4.0912
angles (deg): 90.00 90.00 90.00
Space group P4/mmm (No. 123)
Symmetry-distinct sites (fractional):
V (0.0000, 0.0000, 0.0000) x1
Au (0.5000, 0.5000, 0.5000) x1
O (0.0000, 0.5000, 0.0000) x2
F (0.0000, 0.0000, 0.5000) x1